(w)
Below is a relaxed SrLi2Rh crystal, with properties calculated at the PBE level.

Cell: 4.1887 3.6321 6.4030 Å, 73.95 90.00 90.00°
Last column: nearest neighbours and their distance in Å.
Fractional positions:
1 Li 0.0000 0.9872 0.1452  2 Rh 2.63, 4 Li 2.82-2.83
2 Li 0.5000 0.4433 0.2318  2 Rh 2.50
3 Sr 0.5000 0.7320 0.6690  4 Rh 3.07, 2 Li 3.24-3.25
4 Rh 0.0000 0.3375 0.4540  4 Li 2.50-2.63

Calculated values
Total magnetization = 0.000 μB/atom


(x)
Below is a relaxed SrLi2Rh crystal, with properties calculated at the PBE level.

Cell: 4.2761 4.2761 4.5528 Å, 90.00 90.00 90.00°
Last column: nearest neighbours and their distance in Å.
Fractional positions:
1 Li 0.0000 0.0000 0.0000  4 Li 3.02, 4 Rh 3.12, 4 Sr 3.12
2 Li 0.5000 0.5000 0.0000  4 Li 3.02, 4 Rh 3.12, 4 Sr 3.12
3 Rh 0.5000 0.0000 0.5000  4 Sr 3.02, 8 Li 3.12
4 Sr 0.0000 0.5000 0.5000  4 Rh 3.02, 8 Li 3.12

Calculated values
Total magnetization = 0.000 μB/atom


(w) is the most stable structure; the next one sits 85 meV per atom above it.


(w)
Below is a relaxed SrLi3Rh crystal, with properties calculated at the PBE level.

Cell: 6.2330 8.8025 8.8025 Å, 70.76 78.93 78.93°
Last column: nearest neighbours and their distance in Å.
Fractional positions:
1 Li 0.4047 0.6892 0.6940  2 Rh 2.61-2.63, 2 Li 2.87-2.90
2 Li 0.5782 0.9950 0.6403  1 Rh 2.61, 2 Li 2.77-2.79
3 Li 0.4218 0.0050 0.3597  1 Rh 2.61, 2 Li 2.77-2.79
4 Li 0.4066 0.3754 0.0142  4 Li 2.60-2.90, 1 Rh 2.66
5 Li 0.5953 0.3108 0.3060  2 Rh 2.61-2.63, 2 Li 2.87-2.90
6 Li 0.9066 0.0142 0.3754  4 Li 2.60-2.90, 1 Rh 2.66
7 Li 0.9047 0.6940 0.6892  2 Rh 2.61-2.63, 2 Li 2.87-2.90
8 Li 0.0953 0.3060 0.3108  2 Rh 2.61-2.63, 2 Li 2.87-2.90
9 Li 0.0934 0.9858 0.6246  4 Li 2.60-2.90, 1 Rh 2.66
10 Li 0.5934 0.6246 0.9858  4 Li 2.60-2.90, 1 Rh 2.66
11 Li 0.0782 0.6403 0.9950  1 Rh 2.61, 2 Li 2.77-2.79
12 Li 0.9218 0.3597 0.0050  1 Rh 2.61, 2 Li 2.77-2.79
13 Sr 0.7500 0.6291 0.3709  6 Rh 3.22-3.49, 6 Li 3.35-3.52
14 Sr 0.7500 0.0899 0.9101  2 Rh 2.89, 4 Li 3.18-3.23
15 Sr 0.2500 0.9101 0.0899  2 Rh 2.89, 4 Li 3.18-3.23
16 Sr 0.2500 0.3709 0.6291  6 Rh 3.22-3.49, 6 Li 3.35-3.52
17 Rh 0.7871 0.2458 0.5635  4 Li 2.61-2.66, 1 Rh 2.67, 1 Sr 2.89
18 Rh 0.7129 0.4365 0.7542  4 Li 2.61-2.66, 1 Rh 2.67, 1 Sr 2.89
19 Rh 0.2871 0.5635 0.2458  4 Li 2.61-2.66, 1 Rh 2.67, 1 Sr 2.89
20 Rh 0.2129 0.7542 0.4365  4 Li 2.61-2.66, 1 Rh 2.67, 1 Sr 2.89

Calculated values
Total magnetization = 0.000 μB/atom


(x)
Below is a relaxed SrLi3Rh crystal, with properties calculated at the PBE level.

Cell: 5.7025 5.7689 7.1777 Å, 90.00 112.00 90.00°
Last column: nearest neighbours and their distance in Å.
Fractional positions:
1 Rh 0.1104 0.9476 0.7483  5 Li 2.58-2.68
2 Rh 0.9239 0.4476 0.8123  5 Li 2.58-2.68
3 Sr 0.7098 0.9476 0.9065  2 Rh 2.91-3.17
4 Sr 0.3245 0.4476 0.6541  2 Rh 2.91-3.17
5 Li 0.7501 0.1898 0.4778  2 Rh 2.64-2.68, 1 Li 2.79
6 Li 0.2842 0.6898 0.0828  2 Rh 2.64-2.68, 1 Li 2.79
7 Li 0.8649 0.4476 0.1510  1 Rh 2.58
8 Li 0.7501 0.7054 0.4778  2 Rh 2.64-2.68, 1 Li 2.79
9 Li 0.1694 0.9476 0.4096  1 Rh 2.58
10 Li 0.2842 0.2054 0.0828  2 Rh 2.64-2.68, 1 Li 2.79

Calculated values
Total magnetization = 0.000 μB/atom


(x) is the most stable structure; the next one sits 9 meV per atom above it.


(w)
Below is a relaxed SrLi3Rh crystal, with properties calculated at the PBE level.

Cell: 4.8387 4.8387 4.8387 Å, 90.00 90.00 90.00°
Last column: nearest neighbours and their distance in Å.
Fractional positions:
1 Rh 0.0000 0.0000 0.0000  6 Li 2.42
2 Sr 0.5000 0.5000 0.5000  12 Li 3.42
3 Li 0.0000 0.5000 0.0000  2 Rh 2.42
4 Li 0.5000 0.0000 0.0000  2 Rh 2.42
5 Li 0.0000 0.0000 0.5000  2 Rh 2.42

Calculated values
Total magnetization = 0.000 μB/atom


(x)
Below is a relaxed SrLi3Rh crystal, with properties calculated at the PBE level.

Cell: 4.7275 4.7275 4.7275 Å, 90.00 90.00 90.00°
Last column: nearest neighbours and their distance in Å.
Fractional positions:
1 Rh 0.5000 0.5000 0.5000  12 Li 3.34
2 Li 0.0000 0.0000 0.5000  2 Sr 2.36
3 Li 0.5000 0.0000 0.0000  2 Sr 2.36
4 Li 0.0000 0.5000 0.0000  2 Sr 2.36
5 Sr 0.0000 0.0000 0.0000  6 Li 2.36

Calculated values
Total magnetization = 0.000 μB/atom


(w) is the most stable structure; the next one sits 1266 meV per atom above it.